First-principles (PBEsol) data for an optimized crystal structure of Ba2Ag2Te, as listed in Alexandria via LeMat-Bulk.

Properties
As for the uncorrected energy: -3.529 eV per atom.

a = 4.0637 Å, b = 4.0637 Å, c = 9.8827 Å
α = 101.86°, β = 101.86°, γ = 90.00°
Atoms (fractional coordinates):
Te: 0.0000 0.0000 0.0000
Ba: 0.3926 0.3926 0.7852
Ba: 0.6074 0.6074 0.2148
Ag: 0.2500 0.7500 0.5000
Ag: 0.7500 0.2500 0.5000